Material: Tm2ThSe
Method: DFT, PBE
State: relaxed

Unit cell a=3.578 b=3.578 c=8.367 alpha=90.00 beta=90.00 gamma=90.00
Sites, in units of the cell vectors:
Tm (0.000, 0.000, 0.789)
Tm (0.000, 0.000, 0.211)
Se (0.500, 0.500, 0.000)
Th (0.500, 0.500, 0.500)

Output
For the total DFT energy (no corrections), the calculation gives -5.6443 eV per atom. As for the offset from the most stable computed form: 65 meV/atom.

=====

Material: Tm3ThSe4
Method: DFT, PBE
State: relaxed

Unit cell a=4.007 b=7.087 c=7.087 alpha=108.75 beta=90.00 gamma=90.00
Sites, in units of the cell vectors:
Tm (0.000, 0.000, 0.500)
Tm (0.500, 0.500, 0.500)
Tm (0.000, 0.500, 0.000)
Th (0.500, 0.000, 0.000)
Se (0.000, 0.264, 0.264)
Se (0.500, 0.743, 0.257)
Se (0.000, 0.736, 0.736)
Se (0.500, 0.257, 0.743)

Output
For the total DFT energy (no corrections), the calculation gives -5.9555 eV per atom. As for the offset from the most stable computed form: 12 meV/atom.

=====

Material: TmTh2Se4
Method: DFT, PBE
State: relaxed

Unit cell a=3.914 b=7.030 c=14.529 alpha=90.00 beta=90.00 gamma=106.16
Sites, in units of the cell vectors:
Tm (0.614, 0.227, 0.750)
Tm (0.386, 0.773, 0.250)
Th (0.145, 0.290, 0.434)
Th (0.855, 0.710, 0.934)
Th (0.145, 0.290, 0.066)
Th (0.855, 0.710, 0.566)
Se (0.795, 0.590, 0.133)
Se (0.795, 0.590, 0.367)
Se (0.205, 0.410, 0.867)
Se (0.205, 0.410, 0.633)
Se (0.958, 0.916, 0.750)
Se (0.042, 0.084, 0.250)
Se (0.500, 0.000, 0.000)
Se (0.500, 0.000, 0.500)

Output
For the total DFT energy (no corrections), the calculation gives -6.3454 eV per atom.

=====

no.,magnetization (μB/cell),DOS(E_F) (states/eV per cell),formation energy without anion corrections (eV/atom)
1,0.00,2.90,-0.682
2,0.00,4.19,-1.609
3,0.00,9.28,-1.595